Record 1
VASP calculation (GGA-PBE) on a relaxed HfTlFeMo crystal.

The space group is F-43m (No. 216) and the conventional cell measures 6.504, 6.504 and 6.504 Å, with angles of 90.00, 90.00 and 90.00 degrees. Symmetry generates all atoms from Hf at (0.000, 0.000, 0.000), Tl at (0.000, 0.000, 0.500), Fe at (0.250, 0.250, 0.750) and Mo at (0.250, 0.250, 0.250).

The calculation puts the raw total energy at -7.433 eV/atom. For the polymorph energy (0 for the lowest one), the calculation gives 0.000 eV/atom.

***

Record 2
VASP calculation (GGA-PBE) on a relaxed HfZnFeMo crystal.

The space group is F-43m (No. 216) and the conventional cell measures 6.277, 6.277 and 6.277 Å, with angles of 90.00, 90.00 and 90.00 degrees. Symmetry generates all atoms from Hf at (0.000, 0.000, 0.000), Zn at (0.000, 0.000, 0.500), Fe at (0.250, 0.250, 0.750) and Mo at (0.250, 0.250, 0.250).

As for the calculated formation energy: 0.23 eV/atom. The calculation puts the raw total energy at -7.366 eV/atom. For the polymorph energy (0 for the lowest one), the calculation gives 0.000 eV/atom.

***

Record 3
VASP calculation (GGA-PBE) on a relaxed Hf2FeN crystal.

The space group is C2/c (No. 15) and the conventional cell measures 9.415, 5.427 and 13.655 Å, with angles of 90.00, 103.59 and 90.00 degrees. Symmetry generates all atoms from Hf at (0.042, 0.082, 0.384), Hf at (0.115, 0.413, 0.595), Hf at (0.219, 0.417, 0.905), Fe at (0.000, 0.426, 0.750), Fe at (0.244, 0.158, 0.750), N at (0.080, 0.240, 0.000) and N at (0.250, 0.250, 0.500).

The calculation puts the raw total energy at -9.972 eV/atom.